Record 1
CrFeB (PBE, optimized geometry); polymorph energy (0 for the lowest one) = 111 meV per atom; calculated total energy = -8.46 eV/atom; SG = No. 12; calculated formation energy = -0.210 eV per atom; crystal system = monoclinic; magnetization = 0.00 μB/atom; DOS(E_F) = 0.56 states/eV per atom
1.0
8.883 0.000 0.000
0.000 2.589 0.000
-3.491 0.000 4.744
Cr Fe B
4 4 4
Cartesian
1.077 0.000 0.358
-0.126 1.294 4.386
5.518 1.294 0.358
4.315 0.000 4.386
-0.505 1.294 1.807
1.456 0.000 2.936
3.936 0.000 1.807
5.897 1.294 2.936
-1.369 0.000 3.196
2.320 1.294 1.548
3.072 1.294 3.196
6.761 0.000 1.548

=====

Record 2
CrFeB2 (PBE, optimized geometry); polymorph energy (0 for the lowest one) = 0 meV per atom; calculated total energy = -8.29 eV/atom; SG = No. 38; calculated formation energy = -0.432 eV per atom; crystal system = orthorhombic; magnetization = 0.58 μB/atom; DOS(E_F) = 0.60 states/eV per atom
1.0
2.932 0.000 0.000
0.000 2.939 0.000
0.000 0.000 7.675
Cr Fe B
2 2 4
Cartesian
0.000 0.000 0.000
0.000 1.470 3.838
1.466 0.000 5.485
1.466 1.470 1.648
0.000 0.000 2.226
0.000 1.470 6.063
1.466 0.000 3.264
1.466 1.470 7.102

=====

Record 3
CrFeB (PBE, optimized geometry); polymorph energy (0 for the lowest one) = 243 meV per atom; calculated total energy = -8.33 eV/atom; SG = No. 8; calculated formation energy = -0.078 eV per atom; crystal system = monoclinic; magnetization = 0.00 μB/atom; DOS(E_F) = 0.86 states/eV per atom
1.0
5.844 0.000 0.000
0.000 5.014 0.000
-1.462 0.000 3.842
Cr Fe B
4 4 4
Cartesian
0.000 1.226 0.000
0.000 3.788 0.000
2.922 1.281 0.000
2.922 3.733 0.000
-0.209 2.507 2.207
0.195 0.000 2.291
2.713 0.000 2.207
3.117 2.507 2.291
1.462 1.572 1.572
1.462 3.443 1.572
4.384 0.935 1.572
4.384 4.079 1.572

=====

Record 4
CrFeB2 (PBE, optimized geometry); polymorph energy (0 for the lowest one) = 461 meV per atom; calculated total energy = -7.83 eV/atom; SG = No. 225; calculated formation energy = 0.029 eV per atom; crystal system = cubic; magnetization = 0.62 μB/atom; DOS(E_F) = 0.56 states/eV per atom
1.0
5.092 0.000 0.000
0.000 5.092 0.000
0.000 0.000 5.092
Cr Fe B
4 4 8
Cartesian
0.000 0.000 0.000
0.000 2.546 2.546
2.546 0.000 2.546
2.546 2.546 0.000
0.000 0.000 2.546
0.000 2.546 0.000
2.546 0.000 0.000
2.546 2.546 2.546
1.273 1.273 1.273
1.273 1.273 3.819
1.273 3.819 1.273
1.273 3.819 3.819
3.819 1.273 1.273
3.819 1.273 3.819
3.819 3.819 1.273
3.819 3.819 3.819